1.
# PBE CsTaCuTeSe2, relaxed
# E ... -30.23 eV per formula unit
# M_tot ... 0.4 μB per formula unit
data_CsTaCuTeSe2
_space_group_name_H-M_alt 'C m c m'
_space_group_IT_number 63
_space_group_name_Hall '-C 2c 2'
_cell_length_a 3.828
_cell_length_b 17.118
_cell_length_c 10.374
_cell_angle_alpha 90.00
_cell_angle_beta 90.00
_cell_angle_gamma 90.00
loop_
_atom_site_label
_atom_site_type_symbol
_atom_site_fract_x
_atom_site_fract_y
_atom_site_fract_z
Cs1 Cs 0.000 0.231 0.250
Ta1 Ta 0.000 0.000 0.000
Cu1 Cu 0.000 0.471 0.750
Te1 Te 0.000 0.074 0.750
Se1 Se 0.000 0.397 0.553


2.
# PBE ScTlCoMo, relaxed
# E ... -25.08 eV per formula unit
# M_tot ... 3.0 μB per formula unit
data_ScTlCoMo
_space_group_name_H-M_alt 'F -4 3 m'
_space_group_IT_number 216
_space_group_name_Hall 'F -4 2 3'
_cell_length_a 6.524
_cell_length_b 6.524
_cell_length_c 6.524
_cell_angle_alpha 90.00
_cell_angle_beta 90.00
_cell_angle_gamma 90.00
loop_
_atom_site_label
_atom_site_type_symbol
_atom_site_fract_x
_atom_site_fract_y
_atom_site_fract_z
Sc1 Sc 0.000 0.000 0.000
Tl1 Tl 0.250 0.250 0.250
Co1 Co 0.000 0.000 0.500
Mo1 Mo 0.250 0.250 0.750


3.
# PBE BeAlCdNi, relaxed
# E ... -13.75 eV per formula unit
# M_tot ... 0.0 μB per formula unit
data_BeAlCdNi
_space_group_name_H-M_alt 'F -4 3 m'
_space_group_IT_number 216
_space_group_name_Hall 'F -4 2 3'
_cell_length_a 6.001
_cell_length_b 6.001
_cell_length_c 6.001
_cell_angle_alpha 90.00
_cell_angle_beta 90.00
_cell_angle_gamma 90.00
loop_
_atom_site_label
_atom_site_type_symbol
_atom_site_fract_x
_atom_site_fract_y
_atom_site_fract_z
Be1 Be 0.000 0.000 0.000
Al1 Al 0.250 0.250 0.250
Cd1 Cd 0.250 0.250 0.750
Ni1 Ni 0.000 0.000 0.500